La2Cl PBE-GGA relaxed; energy relative to the lowest polymorph listed for this composition = 132 meV per atom; raw total energy = -4.77 eV/atom; total magnetic moment = 0.00 μB per cell; space-group type = Fmmm
1.0
-5.7904 4.5220 2.0649
2.7637 -7.0559 -0.9041
2.1595 0.0972 5.8430
La Cl
4 2
direct
0.0922 0.4078 0.2500 La
0.9078 0.5922 0.7500 La
0.4078 0.0922 0.2500 La
0.5922 0.9078 0.7500 La
0.2500 0.2500 0.7500 Cl
0.7500 0.7500 0.2500 Cl

***

Ti5V2Ga5 PBE-GGA relaxed; DFT formation energy = -0.264 eV per atom; raw total energy = -6.33 eV/atom; total magnetic moment = 0.00 μB per cell; space-group type = C2/m
1.0
3.7409 0.0000 0.0000
-1.8704 5.9096 -0.5069
0.0000 -3.6344 8.8174
Ga Ti V
5 5 2
direct
0.7447 0.4895 0.7701 Ga
0.1650 0.3301 0.4894 Ga
0.0000 0.0000 0.0000 Ga
0.2553 0.5105 0.2299 Ga
0.8350 0.6699 0.5106 Ga
0.3416 0.6832 0.0125 Ti
0.4092 0.8184 0.7548 Ti
0.5000 0.0000 0.5000 Ti
0.5908 0.1816 0.2452 Ti
0.6584 0.3168 0.9875 Ti
0.9176 0.8352 0.2567 V
0.0824 0.1648 0.7433 V